(1)
{
  "formula": "Sr3HfMo",
  "functional": "PBE",
  "state": "relaxed",
  "lattice": [[5.681, 0.000, 0.000], [0.000, 5.681, 0.000], [0.000, 0.000, 5.681]],
  "species": ["Hf", "Mo", "Sr", "Sr", "Sr"],
  "fractional_positions": [[0.500, 0.500, 0.500], [0.000, 0.000, 0.000], [0.000, 0.500, 0.000], [0.500, 0.000, 0.000], [0.000, 0.000, 0.500]],
  "polymorph_energy_ev_per_fu": 0.00,
  "space_group": "Pm-3m (221)",
  "formation_enthalpy_0k_kj_per_mol_atoms": 138,
  "dos_ef_per_ev_atom": 1.69
}

---

(2)
{
  "formula": "FeB2Pd8",
  "functional": "PBE",
  "state": "relaxed",
  "lattice": [[-2.961, 2.517, -1.684], [-4.507, -3.885, 2.271], [-1.264, 2.296, 5.804]],
  "species": ["Pd", "Pd", "Pd", "Pd", "Pd", "Pd", "Pd", "Pd", "Fe", "B", "B"],
  "fractional_positions": [[0.693, 0.121, 0.656], [0.307, 0.879, 0.344], [0.758, 0.590, 0.590], [0.240, 0.777, 0.777], [0.307, 0.344, 0.879], [0.693, 0.656, 0.121], [0.760, 0.223, 0.223], [0.242, 0.410, 0.410], [0.000, 0.000, 0.000], [0.261, 0.206, 0.206], [0.739, 0.794, 0.794]],
  "space_group": "C2/m (12)",
  "formation_enthalpy_0k_kj_per_mol_atoms": 7,
  "dos_ef_per_ev_atom": 0.55
}

---

(3)
{
  "formula": "WAuCl2",
  "functional": "PBE",
  "state": "relaxed",
  "lattice": [[5.365, -0.005, 0.029], [4.568, 2.814, 0.029], [2.577, 0.729, 6.726]],
  "species": ["W", "Cl", "Cl", "Au"],
  "fractional_positions": [[0.448, 0.448, 0.375], [0.857, 0.857, 0.665], [0.009, 0.009, 0.086], [0.186, 0.186, 0.375]],
  "polymorph_energy_ev_per_fu": 0.12,
  "space_group": "Cm (8)",
  "formation_energy_uncorrected_mev_per_atom": -32.0,
  "dos_ef_per_ev_atom": 0.64
}

---

(4)
{
  "formula": "ZnCd2PdBr",
  "functional": "PBE",
  "state": "relaxed",
  "lattice": [[5.328, 0.000, 0.000], [0.000, 5.154, 0.000], [0.000, 0.000, 5.328]],
  "species": ["Cd", "Cd", "Zn", "Pd", "Br"],
  "fractional_positions": [[0.500, 0.000, 0.000], [0.000, 0.000, 0.500], [0.500, 0.500, 0.500], [0.000, 0.000, 0.000], [0.000, 0.500, 0.000]],
  "space_group": "P4/mmm (123)",
  "formation_energy_uncorrected_mev_per_atom": 83.5,
  "dos_ef_per_ev_atom": 0.30
}

---

(5)
{
  "formula": "TeP2Cl",
  "functional": "PBE",
  "state": "relaxed",
  "lattice": [[9.051, 0.624, -0.025], [6.791, 6.016, 0.025], [-7.453, -4.436, 2.661]],
  "species": ["Cl", "P", "P", "Te"],
  "fractional_positions": [[0.137, 0.637, 0.500], [0.847, 0.347, 0.500], [0.929, 0.929, 0.000], [0.587, 0.587, 0.000]],
  "polymorph_energy_ev_per_fu": 1.08,
  "space_group": "Imm2 (44)",
  "formation_energy_uncorrected_mev_per_atom": 173.8,
  "dos_ef_per_ev_atom": 0.29
}

---

(6)
{
  "formula": "PmBRh",
  "functional": "PBE",
  "state": "relaxed",
  "lattice": [[3.851, 0.000, 0.000], [0.000, 6.857, 0.000], [0.000, -3.429, 5.938]],
  "species": ["Rh", "Rh", "Rh", "B", "B", "B", "Pm", "Pm", "Pm"],
  "fractional_positions": [[0.500, 0.667, 0.333], [0.000, 0.000, 0.000], [0.500, 0.333, 0.667], [0.500, 0.160, 0.160], [0.500, 0.840, 0.000], [0.500, 0.000, 0.840], [0.000, 0.581, 0.581], [0.000, 0.000, 0.419], [0.000, 0.419, 0.000]],
  "polymorph_energy_ev_per_fu": 1.09,
  "space_group": "P-62m (189)",
  "formation_enthalpy_0k_kj_per_mol_atoms": -15,
  "dos_ef_per_ev_atom": 0.48
}

---

(7)
{
  "formula": "AcPr8Pb6",
  "functional": "PBE",
  "state": "relaxed",
  "lattice": [[9.639, 0.000, 0.000], [4.819, 8.347, 0.000], [4.819, 2.782, 6.748]],
  "species": ["Pb", "Pb", "Pb", "Pb", "Pb", "Pb", "Pr", "Pr", "Pr", "Pr", "Pr", "Pr", "Pr", "Pr", "Ac"],
  "fractional_positions": [[0.070, 0.731, 0.790], [0.930, 0.269, 0.210], [0.731, 0.410, 0.790], [0.410, 0.070, 0.790], [0.590, 0.930, 0.210], [0.269, 0.590, 0.210], [0.229, 0.897, 0.306], [0.897, 0.567, 0.306], [0.433, 0.771, 0.694], [0.771, 0.103, 0.694], [0.333, 0.333, 0.002], [0.667, 0.667, 0.998], [0.103, 0.433, 0.694], [0.567, 0.229, 0.306], [0.000, 0.000, 0.000]],
  "space_group": "R-3 (148)",
  "formation_enthalpy_0k_kj_per_mol_atoms": -39,
  "dos_ef_per_ev_atom": 0.71
}

---

(8)
{
  "formula": "CsSr3Os",
  "functional": "PBE",
  "state": "relaxed",
  "lattice": [[6.113, 0.000, 0.000], [0.000, 6.113, 0.000], [0.000, 0.000, 6.113]],
  "species": ["Sr", "Sr", "Sr", "Os", "Cs"],
  "fractional_positions": [[0.000, 0.000, 0.500], [0.500, 0.000, 0.000], [0.000, 0.500, 0.000], [0.000, 0.000, 0.000], [0.500, 0.500, 0.500]],
  "polymorph_energy_ev_per_fu": 0.00,
  "space_group": "Pm-3m (221)",
  "formation_enthalpy_0k_kj_per_mol_atoms": 45,
  "dos_ef_per_ev_atom": 2.30
}

---

Please write out number 2 again, unchanged.
{
  "formula": "FeB2Pd8",
  "functional": "PBE",
  "state": "relaxed",
  "lattice": [[-2.961, 2.517, -1.684], [-4.507, -3.885, 2.271], [-1.264, 2.296, 5.804]],
  "species": ["Pd", "Pd", "Pd", "Pd", "Pd", "Pd", "Pd", "Pd", "Fe", "B", "B"],
  "fractional_positions": [[0.693, 0.121, 0.656], [0.307, 0.879, 0.344], [0.758, 0.590, 0.590], [0.240, 0.777, 0.777], [0.307, 0.344, 0.879], [0.693, 0.656, 0.121], [0.760, 0.223, 0.223], [0.242, 0.410, 0.410], [0.000, 0.000, 0.000], [0.261, 0.206, 0.206], [0.739, 0.794, 0.794]],
  "space_group": "C2/m (12)",
  "formation_enthalpy_0k_kj_per_mol_atoms": 7,
  "dos_ef_per_ev_atom": 0.55
}